Here is crystalline BePb4 at its relaxed geometry from Alexandria. Energies are from PBE.

a b c (Å): 5.752 5.752 5.752
angles (deg): 109.47 109.47 109.47
Fractional coordinates of all 5 atoms:
Be 0.000 0.000 0.000
Pb 0.000 0.000 0.500
Pb 0.000 0.500 0.000
Pb 0.500 0.000 0.000
Pb 0.500 0.500 0.500

Properties
**Space group**: Im-3m (229)
**Energy relative to the elements**: 363 meV/atom
**E above lowest polymorph**: 52 meV per atom
**Total magnetic moment**: 0.0 μB/cell